Entry 1:
Below is SrBe2Al after structural relaxation, with properties calculated at the PBE level.

Results
VASP energy (eV/atom): -3.000
Calculated formation energy (eV per formula unit): 0.879
Total magnetization (μB per cell): 0.00

```
4
Lattice="3.940 0.000 0.000 0.000 3.866 0.000 -1.953 0.000 5.291" Properties=species:S:1:pos:R:3 pbc="T T T"
Sr 0.000 0.000 0.000
Be 1.974 1.933 1.669
Be 1.952 0.000 2.316
Al 0.009 1.933 2.871
```

Entry 2:
Below is SrBe4Al after structural relaxation, with properties calculated at the PBE level.

Results
VASP energy (eV/atom): -2.939
Calculated formation energy (eV per formula unit): 2.692
Total magnetization (μB per cell): 0.00

```
6
Lattice="0.000 3.486 3.486 3.486 0.000 3.486 3.486 3.486 0.000" Properties=species:S:1:pos:R:3 pbc="T T T"
Sr 0.000 0.000 0.000
Be 4.361 2.612 2.612
Be 2.612 4.361 2.612
Be 2.612 2.612 4.361
Be 4.361 4.361 4.361
Al 1.743 1.743 1.743
```

Entry 3:
Below is Sr2BeAl after structural relaxation, with properties calculated at the PBE level.

Results
VASP energy (eV/atom): -2.275
Calculated formation energy (eV per formula unit): 1.732
Total magnetization (μB per cell): 0.00

```
8
Lattice="4.847 0.000 0.000 0.000 4.847 0.000 0.000 0.000 9.415" Properties=species:S:1:pos:R:3 pbc="T T T"
Sr 0.000 0.000 0.000
Sr 0.000 2.423 2.354
Sr 2.423 0.000 7.061
Sr 2.423 2.423 4.707
Be 0.000 0.000 4.707
Be 2.423 2.423 0.000
Al 0.000 2.423 7.061
Al 2.423 0.000 2.354
```

Entry 4:
Below is SrBeAl2 after structural relaxation, with properties calculated at the PBE level.

Results
VASP energy (eV/atom): -3.071
Calculated formation energy (eV per formula unit): 0.609
Total magnetization (μB per cell): 0.00

```
4
Lattice="3.245 0.000 0.000 0.000 3.245 0.000 0.000 0.000 7.605" Properties=species:S:1:pos:R:3 pbc="T T T"
Sr 0.000 0.000 0.000
Be 0.000 0.000 3.803
Al 1.623 1.623 2.459
Al 1.623 1.623 5.146
```

Entry 5:
Below is Sr2BeAl after structural relaxation, with properties calculated at the PBE level.

Results
VASP energy (eV/atom): -2.417
Calculated formation energy (eV per formula unit): 1.164
Total magnetization (μB per cell): 0.00

```
4
Lattice="3.573 0.000 0.000 0.000 3.573 0.000 0.000 0.000 9.193" Properties=species:S:1:pos:R:3 pbc="T T T"
Sr 0.000 0.000 0.000
Sr 1.786 1.786 3.642
Be 1.786 1.786 6.943
Al 0.000 0.000 5.981
```

Entry 6:
Below is SrBeAl2 after structural relaxation, with properties calculated at the PBE level.

Results
VASP energy (eV/atom): -3.275
Calculated formation energy (eV per formula unit): -0.207
Total magnetization (μB per cell): 0.00

```
12
Lattice="4.114 0.000 0.000 -2.057 3.563 0.000 0.000 0.000 18.229" Properties=species:S:1:pos:R:3 pbc="T T T"
Sr 0.000 0.000 0.000
Sr 0.000 2.375 12.153
Sr 2.057 1.188 6.076
Be 0.000 0.000 9.114
Be 0.000 2.375 3.038
Be 2.057 1.188 15.191
Al 0.000 0.000 3.730
Al 0.000 0.000 14.499
Al 0.000 2.375 8.423
Al 0.000 2.375 15.882
Al 2.057 1.188 2.347
Al 2.057 1.188 9.806
```

Entry 7:
Below is SrBeAl2 after structural relaxation, with properties calculated at the PBE level.

Results
VASP energy (eV/atom): -3.257
Calculated formation energy (eV per formula unit): -0.134
Total magnetization (μB per cell): 0.00

```
12
Lattice="4.137 0.000 0.000 -2.069 3.583 0.000 0.000 0.000 18.033" Properties=species:S:1:pos:R:3 pbc="T T T"
Sr 0.000 0.000 0.000
Sr 0.000 2.389 12.022
Sr 2.069 1.194 6.011
Be 0.000 0.000 3.386
Be 0.000 2.389 15.408
Be 2.069 1.194 9.397
Al 0.000 0.000 9.657
Al 0.000 0.000 14.365
Al 0.000 2.389 3.646
Al 0.000 2.389 8.354
Al 2.069 1.194 2.342
Al 2.069 1.194 15.668
```

Entry 8:
Below is SrBe2Al after structural relaxation, with properties calculated at the PBE level.

Results
VASP energy (eV/atom): -2.929
Calculated formation energy (eV per formula unit): 1.161
Total magnetization (μB per cell): 0.00

```
16
Lattice="4.640 0.000 0.000 0.000 4.640 0.000 0.000 0.000 16.146" Properties=species:S:1:pos:R:3 pbc="T T T"
Sr 0.000 1.160 6.055
Sr 0.000 3.480 10.092
Sr 2.320 1.160 2.018
Sr 2.320 3.480 14.128
Be 0.000 0.000 0.000
Be 0.000 2.320 0.000
Be 1.160 1.160 12.110
Be 1.160 3.480 4.037
Be 2.320 0.000 8.073
Be 2.320 2.320 8.073
Be 3.480 1.160 12.110
Be 3.480 3.480 4.037
Al 0.000 1.160 14.128
Al 0.000 3.480 2.018
Al 2.320 1.160 10.092
Al 2.320 3.480 6.055
```

Entry 9:
Below is Sr2BeAl after structural relaxation, with properties calculated at the PBE level.

Results
VASP energy (eV/atom): -2.626
Calculated formation energy (eV per formula unit): 0.327
Total magnetization (μB per cell): 0.00

```
4
Lattice="5.091 0.000 0.000 0.000 4.456 0.000 -2.542 0.000 5.400" Properties=species:S:1:pos:R:3 pbc="T T T"
Sr 0.000 0.000 0.000
Sr 0.003 2.228 3.192
Be 2.552 2.228 1.207
Al 2.546 0.000 2.004
```

Entry 10:
Below is SrBe2Al after structural relaxation, with properties calculated at the PBE level.

Results
VASP energy (eV/atom): -2.749
Calculated formation energy (eV per formula unit): 1.881
Total magnetization (μB per cell): 0.00

```
8
Lattice="4.049 0.000 0.000 0.000 5.624 0.000 0.000 0.000 7.249" Properties=species:S:1:pos:R:3 pbc="T T T"
Sr 0.000 0.000 0.000
Sr 2.024 2.812 3.624
Be 0.000 0.000 3.238
Be 0.000 2.812 6.080
Be 2.024 0.000 2.456
Be 2.024 2.812 6.862
Al 0.000 2.812 1.194
Al 2.024 0.000 4.818
```

Entry 11:
Below is SrBe2Al after structural relaxation, with properties calculated at the PBE level.

Results
VASP energy (eV/atom): -3.153
Calculated formation energy (eV per formula unit): 0.264
Total magnetization (μB per cell): 0.00

```
8
Lattice="7.008 0.000 0.000 0.000 4.042 0.000 -2.314 0.000 5.584" Properties=species:S:1:pos:R:3 pbc="T T T"
Sr 0.000 0.000 0.000
Sr 3.504 2.021 0.000
Be 0.014 0.000 3.099
Be 1.176 2.021 2.485
Be 3.518 2.021 3.099
Be 4.680 0.000 2.485
Al -1.157 2.021 2.792
Al 2.347 0.000 2.792
```

Entry 12:
Below is Sr2BeAl after structural relaxation, with properties calculated at the PBE level.

Results
VASP energy (eV/atom): -2.217
Calculated formation energy (eV per formula unit): 1.965
Total magnetization (μB per cell): 0.71

```
12
Lattice="4.033 0.000 0.000 -2.017 3.493 0.000 0.000 0.000 28.072" Properties=species:S:1:pos:R:3 pbc="T T T"
Sr 0.000 0.000 6.825
Sr 0.000 0.000 21.247
Sr 0.000 2.329 11.890
Sr 0.000 2.329 25.540
Sr 2.017 1.164 2.532
Sr 2.017 1.164 16.182
Be 0.000 0.000 14.036
Be 0.000 2.329 4.679
Be 2.017 1.164 23.393
Al 0.000 0.000 0.000
Al 0.000 2.329 18.715
Al 2.017 1.164 9.357
```

Entry 13:
Below is Sr2BeAl after structural relaxation, with properties calculated at the PBE level.

Results
VASP energy (eV/atom): -2.252
Calculated formation energy (eV per formula unit): 1.823
Total magnetization (μB per cell): 0.00

```
16
Lattice="7.503 0.000 0.000 0.000 7.503 0.000 0.000 0.000 7.503" Properties=species:S:1:pos:R:3 pbc="T T T"
Sr 0.000 0.000 0.000
Sr 0.000 3.751 3.751
Sr 1.876 1.876 1.876
Sr 1.876 5.627 5.627
Sr 3.751 0.000 3.751
Sr 3.751 3.751 0.000
Sr 5.627 1.876 5.627
Sr 5.627 5.627 1.876
Be 0.000 0.000 3.751
Be 0.000 3.751 0.000
Be 3.751 0.000 0.000
Be 3.751 3.751 3.751
Al 1.876 1.876 5.627
Al 1.876 5.627 1.876
Al 5.627 1.876 1.876
Al 5.627 5.627 5.627
```

Entry 14:
Below is SrBeAl3 after structural relaxation, with properties calculated at the PBE level.

Results
VASP energy (eV/atom): -3.128
Calculated formation energy (eV per formula unit): 0.997
Total magnetization (μB per cell): 0.00

```
5
Lattice="4.717 0.000 0.000 0.000 4.717 0.000 0.000 0.000 4.717" Properties=species:S:1:pos:R:3 pbc="T T T"
Sr 0.000 0.000 0.000
Be 2.358 2.358 2.358
Al 0.000 2.358 2.358
Al 2.358 0.000 2.358
Al 2.358 2.358 0.000
```

Entry 15:
Below is SrBeAl2 after structural relaxation, with properties calculated at the PBE level.

Results
VASP energy (eV/atom): -3.050
Calculated formation energy (eV per formula unit): 0.692
Total magnetization (μB per cell): 0.00

```
16
Lattice="5.037 0.000 0.000 0.000 5.037 0.000 0.000 0.000 16.170" Properties=species:S:1:pos:R:3 pbc="T T T"
Sr 0.000 1.259 6.064
Sr 0.000 3.778 10.106
Sr 2.519 1.259 2.021
Sr 2.519 3.778 14.149
Be 0.000 1.259 14.149
Be 0.000 3.778 2.021
Be 2.519 1.259 10.106
Be 2.519 3.778 6.064
Al 0.000 0.000 0.000
Al 0.000 2.519 0.000
Al 1.259 1.259 12.127
Al 1.259 3.778 4.042
Al 2.519 0.000 8.085
Al 2.519 2.519 8.085
Al 3.778 1.259 12.127
Al 3.778 3.778 4.042
```